# PBE+U AlCdCoF6, optimized geometry
# Space-group type: P-31c, No. 163
# ρ, g/cm3: 4.33
# Total energy, eV per cell: -87.1
data_AlCdCoF6
_space_group_name_H-M_alt 'P 1'
_space_group_IT_number 1
_cell_length_a 5.3348
_cell_length_b 5.3348
_cell_length_c 9.7154
_cell_angle_alpha 90.00
_cell_angle_beta 90.00
_cell_angle_gamma 120.00
loop_
_space_group_symop_operation_xyz
'x,y,z'
loop_
_atom_site_label
_atom_site_fract_x
_atom_site_fract_y
_atom_site_fract_z
_atom_site_occupancy
F1 0.9557 0.6157 0.3568 1
Co1 0.6667 0.3333 0.7500 1
F2 0.6599 0.6157 0.1432 1
F3 0.6599 0.0443 0.3568 1
F4 0.3401 0.3843 0.8568 1
F5 0.6157 0.6599 0.6432 1
F6 0.3843 0.3401 0.3568 1
F7 0.0443 0.3843 0.6432 1
F8 0.3401 0.9557 0.6432 1
Al1 0.3333 0.6667 0.7500 1
Co2 0.3333 0.6667 0.2500 1
Al2 0.6667 0.3333 0.2500 1
F9 0.0443 0.6599 0.8568 1
F10 0.9557 0.3401 0.1432 1
F11 0.3843 0.0443 0.1432 1
F12 0.6157 0.9557 0.8568 1
Cd1 0.0000 0.0000 0.0000 1
Cd2 0.0000 0.0000 0.5000 1